Compound: Sr2AgPb
Source: Alexandria
Functional: PBE-GGA
Structure: relaxed

abc: 3.936 3.909 8.446
angles: 90.00 90.06 90.00
Space group P2/m (No. 10)
One atom of each set of equivalent atoms:
Sr  0.001  0.000  0.262
Ag  0.500  0.500  0.500
Pb  0.500  0.500  0.000

- ΔE_f: -0.423 eV/atom
- Size of the total moment: 0.00 μB per cell